Computed, not measured: a relaxed YBI2 crystal at the PBE level of DFT.

The total magnetization comes out at 0.00 μB/cell. The offset from the most stable computed form is 142 meV/atom. The crystal system is tetragonal. The value obtained for the energy is -3.4736 eV per atom.

The space group is I-42d (No. 122) and the conventional cell measures 5.084, 5.084 and 19.385 Å, with angles of 90.00, 90.00 and 90.00 degrees. The asymmetric unit holds Y at (0.000, 0.000, 0.000), B at (0.000, 0.000, 0.500) and I at (0.240, 0.250, 0.625).